Record 1
This record from Alexandria describes Rb5Ge2Te5 after structural relaxation. The functional is PBE.

The structure in POSCAR format:
```
Rb5Ge2Te5
1.0
7.919 -2.537 0.000
7.919 2.537 0.000
-2.951 0.000 12.643
Rb Ge Te
5 2 5
direct
0.000 0.000 0.000 Rb
0.156 0.156 0.587 Rb
0.276 0.276 0.872 Rb
0.724 0.724 0.128 Rb
0.844 0.844 0.413 Rb
0.457 0.457 0.698 Ge
0.543 0.543 0.302 Ge
0.129 0.129 0.286 Te
0.396 0.396 0.148 Te
0.500 0.500 0.500 Te
0.604 0.604 0.852 Te
0.871 0.871 0.714 Te
```

Properties
uncorrected energy	-3.164	eV per atom
energy relative to the elements, uncorrected	-0.6818	eV/atom

***

Record 2
This record from Alexandria describes NdErPd2 after structural relaxation. The functional is PBE.

The structure in POSCAR format:
```
NdErPd2
1.0
4.590 0.000 0.000
0.000 3.801 0.000
0.000 0.000 10.674
Nd Er Pd
2 2 4
direct
0.000 0.000 0.000 Nd
0.000 0.500 0.500 Nd
0.500 0.000 0.726 Er
0.500 0.500 0.226 Er
0.000 0.000 0.274 Pd
0.000 0.500 0.774 Pd
0.500 0.000 0.445 Pd
0.500 0.500 0.945 Pd
```

Properties
distance to the lowest polymorph of the same formula	0	meV per atom
uncorrected energy	-5.793	eV per atom
energy of formation	-0.86	eV per atom